The following is a PBE with a Hubbard U calculation of crystalline CrGa2HgO6 at its relaxed geometry, from Alexandria via LeMat-Bulk.

## Properties
uncorrected energy: -5.69 eV per atom
magnetization: 4.0 μB/cell

abc: 5.807 7.543 7.543
angles: 104.83 73.64 73.64
Each line ends with the local moment (μB).
Fractional positions:
Cr 0.250 0.203 0.797  2.04
Cr 0.750 0.797 0.203  2.04
Ga 0.328 0.709 0.558  0.00
Ga 0.172 0.442 0.291  0.00
Ga 0.672 0.291 0.442  0.00
Ga 0.828 0.558 0.709  0.00
Hg 0.250 0.901 0.099  0.02
Hg 0.750 0.099 0.901  0.02
O 0.163 0.979 0.780  -0.03
O 0.337 0.220 0.021  -0.03
O 0.837 0.021 0.220  -0.03
O 0.663 0.780 0.979  -0.03
O 0.461 0.828 0.385  -0.03
O 0.039 0.615 0.172  -0.03
O 0.539 0.172 0.615  -0.03
O 0.961 0.385 0.828  -0.03
O 0.012 0.680 0.571  0.00
O 0.488 0.429 0.320  0.00
O 0.988 0.320 0.429  0.00
O 0.512 0.571 0.680  0.00